The following is a GGA-PBEsol calculation of an optimized crystal structure of Mg2TlHg, from the Alexandria database.

Output
The formation energy comes out at -0.139 eV/atom.

Geometry as CIF:
```
data_Mg2TlHg
_chemical_formula_sum 'Mg4 Tl2 Hg2'
_cell_length_a 4.2777
_cell_length_b 4.2777
_cell_length_c 9.8102
_cell_angle_alpha 90.00
_cell_angle_beta 90.00
_cell_angle_gamma 90.00
_space_group_name_H-M_alt 'I -4 m 2'
_space_group_IT_number 119
_space_group_name_Hall 'I -4 -2'
loop_
_atom_site_label
_atom_site_type_symbol
_atom_site_fract_x
_atom_site_fract_y
_atom_site_fract_z
Mg1 Mg 0.0000 0.0000 0.0000
Mg2 Mg 0.0000 0.5000 0.2500
Tl1 Tl 0.0000 0.0000 0.5000
Hg1 Hg 0.0000 0.5000 0.7500
```